KNa2Cr2O7 after structural relaxation. Source: Alexandria via LeMat-Bulk, functional GGA+U.

The value obtained for the volume is 20.679 A^3/atom. The calculation puts the total energy at -5.944 eV per atom. The density of states at the Fermi level is 6.3 states/eV/f.u. As for the magnetic moment: 3.000 μB per cell.

Geometry as CIF:
```
data_KNa2Cr2O7
_chemical_formula_sum 'K3 Na6 Cr6 O21'
_cell_length_a 6.0967
_cell_length_b 6.0967
_cell_length_c 23.1269
_cell_angle_alpha 90.00
_cell_angle_beta 90.00
_cell_angle_gamma 120.00
_space_group_name_H-M_alt 'R 3 2'
_space_group_IT_number 155
_space_group_name_Hall 'R 3 2"'
loop_
_atom_site_label
_atom_site_fract_x
_atom_site_fract_y
_atom_site_fract_z
_atom_site_occupancy
K1 0.0000 0.0000 0.0000 1
Na1 0.0000 0.0000 0.2735 1
Cr1 0.0000 0.0000 0.4238 1
O1 0.0000 0.0000 0.5000 1
O2 0.0074 0.2619 0.3995 1
```